VASP calculation (SCAN) on a crystal of Zn8Au relaxed with PBEsol.

Cell lengths 3.855, 6.095, 6.095 Å; angles 84.26, 71.56, 71.56 degrees
Fractional coordinates of all 9 atoms:
Zn  0.000  0.337  0.663
Zn  0.670  0.661  0.000
Zn  0.670  0.000  0.661
Zn  0.337  0.663  0.663
Zn  0.663  0.337  0.337
Zn  0.330  0.339  0.000
Zn  0.000  0.663  0.337
Zn  0.330  0.000  0.339
Au  0.000  0.000  0.000

Output
Fermi-level density of states	2.82	states/eV/f.u.
energy of formation	-0.045	eV/atom
VASP energy	-177.68	eV/cell